1.
Compound: Dy2ZnGa
Source: Alexandria
Functional: SCAN
Structure: single point on PBEsol structure

```
Dy2ZnGa
1.0
4.958 0.000 0.000
2.479 4.294 0.000
2.479 1.431 4.048
Zn Ga Dy
1 1 2
Direct
0.500 0.500 0.500
0.000 0.000 0.000
0.250 0.250 0.250
0.750 0.750 0.750
```

## Properties
As for the formation enthalpy at 0 K: -2.268 eV/f.u. The energy is -31.9307 eV/atom.


2.
Compound: YTlAg
Source: Alexandria
Functional: SCAN
Structure: single point on PBEsol structure

```
YTlAg
1.0
3.442 0.000 0.000
0.000 4.799 0.000
0.000 -2.400 4.156
Y Tl Ag
1 1 1
Direct
0.500 0.667 0.333
0.000 0.333 0.667
0.000 0.000 0.000
```

## Properties
As for the formation enthalpy at 0 K: -1.359 eV/f.u. The energy is -44.3090 eV/atom.


3.
Compound: TcRh2
Source: Alexandria
Functional: SCAN
Structure: single point on PBEsol structure

```
TcRh2
1.0
2.685 0.000 0.000
0.000 7.281 0.000
0.000 -3.641 6.306
Rh Tc
6 3
Direct
0.000 0.000 0.301
0.500 0.000 0.639
0.000 0.699 0.699
0.000 0.301 0.000
0.500 0.361 0.361
0.500 0.639 0.000
0.500 0.000 0.000
0.000 0.667 0.333
0.000 0.333 0.667
```

## Properties
As for the formation enthalpy at 0 K: -0.230 eV/f.u. The energy is -34.2778 eV/atom.